First-principles (GGA-PBE) data for a geometry-optimized TaNbCuB structure, as listed in the Open Quantum Materials Database.

Energy relative to the lowest polymorph listed for this composition, meV per atom: 0
Electronic total energy, eV per atom: -7.203
Theoretical density, g cm⁻³: 10.14
M_tot, μB/cell: 0.01

Cell: 6.1110 6.1110 6.1110 Å, 90.00 90.00 90.00°
Space group F-43m (No. 216)
Inequivalent atoms, fractional coordinates:
Ta 0.0000 0.0000 0.0000 (multiplicity 4)
Nb 0.2500 0.2500 0.2500 (multiplicity 4)
Cu 0.2500 0.2500 0.7500 (multiplicity 4)
B 0.0000 0.0000 0.5000 (multiplicity 4)